Record 1
MnIn2SnSe6 | PBE-GGA | optimized geometry

Output
For the formation energy from raw total energies, the calculation gives -0.382 eV/atom. The density of states at the Fermi level comes out at 5.4 states/eV per cell. For the total DFT energy (no corrections), the calculation gives -43.4 eV per formula unit. The calculation puts the total moment at 3.1 μB/f.u. The value obtained for the volume is 28.2 A^3/atom.

The structure in CIF format:
```
data_MnIn2SnSe6
_chemical_formula_sum 'Mn4 In8 Sn4 Se24'
_cell_length_a 12.8458
_cell_length_b 12.9040
_cell_length_c 7.2709
_cell_angle_alpha 90.00
_cell_angle_beta 110.75
_cell_angle_gamma 90.00
_space_group_name_H-M_alt 'C 1 2/c 1'
_space_group_IT_number 15
loop_
_space_group_symop_operation_xyz
'x,y,z'
'-x,-y,-z'
'-x,y,-z+1/2'
'x,-y,z+1/2'
'x+1/2,y+1/2,z'
'-x+1/2,-y+1/2,-z'
'-x+1/2,y+1/2,-z+1/2'
'x+1/2,-y+1/2,z+1/2'
loop_
_atom_site_label
_atom_site_type_symbol
_atom_site_fract_x
_atom_site_fract_y
_atom_site_fract_z
Mn1 Mn 0.0000 0.1856 0.2500
In1 In 0.1129 0.4069 0.6524
Sn1 Sn 0.0000 0.0891 0.7500
Se1 Se 0.1210 0.4041 0.0244
Se2 Se 0.1284 0.0832 0.1585
Se3 Se 0.1359 0.2112 0.5759
```

Record 2
V6Fe5Tc | PBE-GGA | optimized geometry

Output
The formation energy is -0.1514 eV/atom. The density of states at the Fermi level comes out at 27.5 states/eV per cell. For the total DFT energy (no corrections), the calculation gives -109.2 eV per formula unit. The calculation puts the total moment at 3.9 μB/f.u. The value obtained for the volume is 12.3 A^3/atom.

The structure in CIF format:
```
data_V6Fe5Tc
_chemical_formula_sum 'V12 Fe10 Tc2'
_cell_length_a 12.9797
_cell_length_b 5.8088
_cell_length_c 4.1173
_cell_angle_alpha 90.00
_cell_angle_beta 108.39
_cell_angle_gamma 90.00
_space_group_name_H-M_alt 'C 1 2/m 1'
_space_group_IT_number 12
loop_
_space_group_symop_operation_xyz
'x,y,z'
'-x,-y,-z'
'-x,y,-z'
'x,-y,z'
'x+1/2,y+1/2,z'
'-x+1/2,-y+1/2,-z'
'-x+1/2,y+1/2,-z'
'x+1/2,-y+1/2,z'
loop_
_atom_site_label
_atom_site_type_symbol
_atom_site_fract_x
_atom_site_fract_y
_atom_site_fract_z
V1 V 0.0000 0.2441 0.0000
V2 V 0.1688 0.2468 0.6687
Fe1 Fe 0.0000 0.0000 0.5000
Fe2 Fe 0.1677 0.0000 0.1674
Fe3 Fe 0.1684 0.5000 0.1680
Tc1 Tc 0.0000 0.5000 0.5000
```

Record 3
LiVRh | PBE-GGA | optimized geometry

Output
The formation energy is -0.0775 eV/atom. The polymorph energy (0 for the lowest one) is 21.26 kJ per mole of atoms. The density of states at the Fermi level comes out at 2.7 states/eV per cell. For the total DFT energy (no corrections), the calculation gives -18.6 eV per formula unit. The calculation puts the total moment at 1.2 μB/f.u. The value obtained for the volume is 13.5 A^3/atom.

The structure in CIF format:
```
data_LiVRh
_chemical_formula_sum 'Li2 V2 Rh2'
_cell_length_a 3.0530
_cell_length_b 3.0530
_cell_length_c 8.6748
_cell_angle_alpha 90.00
_cell_angle_beta 90.00
_cell_angle_gamma 90.00
_space_group_name_H-M_alt 'I 4 m m'
_space_group_IT_number 107
_space_group_name_Hall 'I 4 -2'
loop_
_atom_site_label
_atom_site_type_symbol
_atom_site_fract_x
_atom_site_fract_y
_atom_site_fract_z
Li1 Li 0.0000 0.0000 0.0000
V1 V 0.0000 0.0000 0.6825
Rh1 Rh 0.0000 0.0000 0.3331
```

Which value of total DFT energy (no corrections) does entry 1 give? -43.4 eV per formula unit

Which of these has the lowest volume? V6Fe5Tc